No. 1
Here is a relaxed structure of CeTeSe from the Alexandria database. Energies are from PBE-GGA.

The structure in POSCAR format:
```
CeTeSe
1.0
4.383 0.000 0.000
-2.192 3.796 0.000
0.000 0.000 6.608
Ce Te Se
1 1 1
direct
0.000 0.000 0.000
0.333 0.667 0.729
0.667 0.333 0.203
```

Output
**Relative energy among the computed polymorphs**: 69 meV/atom
**DFT total energy**: -16.5 eV for the cell shown
**Symmetry**: P3m1, No. 156
**Raw formation energy**: -1.33 eV/atom

***

No. 2
Here is a relaxed structure of PuVS4 from the Alexandria database. Energies are from PBE-GGA.

The structure in POSCAR format:
```
PuVS4
1.0
6.201 0.000 0.000
0.000 6.201 0.000
0.000 0.000 6.827
Pu V S
2 2 8
direct
0.000 0.000 0.000
0.500 0.500 0.500
0.000 0.500 0.750
0.500 0.000 0.250
0.197 0.226 0.643
0.226 0.803 0.357
0.274 0.697 0.857
0.303 0.274 0.143
0.697 0.726 0.143
0.726 0.303 0.857
0.774 0.197 0.357
0.803 0.774 0.643
```

Output
**DFT total energy**: -90.2 eV for the cell shown
**Symmetry**: I-4, No. 82
**DOS(E_F)**: 22.0 states/eV per cell
**Raw formation energy**: -0.85 eV/atom

***

No. 3
Here is a relaxed structure of LaPm3Tl3 from the Alexandria database. Energies are from PBE-GGA.

The structure in POSCAR format:
```
LaPm3Tl3
1.0
9.627 0.000 0.000
0.000 9.627 0.000
0.000 0.000 9.627
La Pm Tl
4 12 12
direct
0.074 0.426 0.574
0.426 0.574 0.074
0.574 0.074 0.426
0.926 0.926 0.926
0.077 0.577 0.923
0.178 0.178 0.178
0.178 0.822 0.322
0.322 0.178 0.822
0.322 0.822 0.678
0.423 0.423 0.423
0.577 0.923 0.077
0.678 0.322 0.822
0.678 0.678 0.678
0.822 0.322 0.178
0.822 0.678 0.322
0.923 0.077 0.577
0.001 0.254 0.881
0.119 0.501 0.246
0.246 0.119 0.501
0.254 0.881 0.001
0.381 0.499 0.746
0.499 0.746 0.381
0.501 0.246 0.119
0.619 0.999 0.754
0.746 0.381 0.499
0.754 0.619 0.999
0.881 0.001 0.254
0.999 0.754 0.619
```

Output
**Formation enthalpy at 0 K**: -295 meV per atom
**Relative energy among the computed polymorphs**: 0 meV/atom
**DFT total energy**: -113.4 eV for the cell shown
**Symmetry**: P2_13, No. 198
**DOS(E_F)**: 32.7 states/eV per cell

***

No. 4
Here is a relaxed structure of Nb2VTe6 from the Alexandria database. Energies are from PBE-GGA.

The structure in POSCAR format:
```
Nb2VTe6
1.0
9.087 -1.826 0.000
9.087 1.826 0.000
-3.596 0.000 7.777
Nb V Te
2 1 6
direct
0.164 0.164 0.329
0.836 0.836 0.671
0.500 0.500 0.000
0.002 0.002 0.764
0.333 0.333 0.418
0.337 0.337 0.920
0.663 0.663 0.080
0.667 0.667 0.582
0.998 0.998 0.236
```

Output
**Relative energy among the computed polymorphs**: 0 meV/atom
**DFT total energy**: -51.6 eV for the cell shown
**Symmetry**: C2/m, No. 12
**DOS(E_F)**: 5.2 states/eV per cell
**Raw formation energy**: -0.39 eV/atom

***

No. 5
Here is a relaxed structure of PaVH3 from the Alexandria database. Energies are from PBE-GGA.

The structure in POSCAR format:
```
PaVH3
1.0
3.642 0.000 0.000
0.000 3.642 0.000
0.000 0.000 3.642
Pa V H
1 1 3
direct
0.000 0.000 0.000
0.500 0.500 0.500
0.000 0.500 0.500
0.500 0.000 0.500
0.500 0.500 0.000
```

Output
**Relative energy among the computed polymorphs**: 47 meV/atom
**DFT total energy**: -29.2 eV for the cell shown
**Symmetry**: Pm-3m, No. 221
**DOS(E_F)**: 4.7 states/eV per cell